DFT (GGA-PBE) results for an optimized crystal structure of LiBiB2O5.

Results
Its total magnetic moment is 0.00 μB per formula unit. Its energy above the lowest structure with this stoichiometry is 0.0 meV/atom. As for the raw formation energy: -2.0683 eV per atom.

Cell: 7.5438 9.7328 6.6185 Å, 90.00 112.00 90.00°
With the nearest neighbours (Å) after each atom.
Space group P2_1/c (No. 14)
One atom of each set of equivalent atoms:
Li (0.2497, 0.1577, 0.2492) x4  4 O 2.07
Bi (0.2501, 0.0087, 0.7498) x4  4 O 2.24-2.41
B (0.0945, 0.6277, 0.7688) x4  3 O 1.37-1.41
B (0.4051, 0.6278, 0.7309) x4  3 O 1.37-1.41
O (0.0834, 0.1867, 0.7997) x4  1 B 1.37
O (0.1185, 0.0030, 0.3572) x4  1 B 1.38
O (0.2498, 0.6997, 0.7500) x4  2 B 1.41
O (0.3809, 0.0028, 0.1421) x4  1 B 1.38
O (0.4170, 0.1867, 0.7003) x4  1 B 1.37